KNpH2F8, relaxed, DFT PBE; VASP energy = -5.6598 eV/atom
1.0
4.889 0.000 0.000
-1.539 4.787 0.000
-0.822 -0.912 8.050
K Np H F
1 1 2 8
direct
0.000 0.000 0.000 K
0.000 0.000 0.500 Np
0.328 0.543 0.827 H
0.672 0.457 0.173 H
0.202 0.218 0.318 F
0.257 0.274 0.715 F
0.263 0.757 0.502 F
0.354 0.696 0.915 F
0.646 0.304 0.085 F
0.737 0.243 0.498 F
0.743 0.726 0.285 F
0.798 0.782 0.682 F